1.
This record from the Alexandria database describes a relaxed Pm15PrIn4 crystal. The functional is PBE-GGA.

a b c (Å): 4.9659 4.9659 25.3958
angles (deg): 90.00 90.00 90.00
Positions (direct):
Pm1 0.0000 0.0000 0.0000
Pm2 0.0000 0.0000 0.2070
Pm3 0.0000 0.0000 0.4019
Pm4 0.0000 0.0000 0.5981
Pm5 0.0000 0.0000 0.7930
Pm6 0.0000 0.5000 0.1074
Pm7 0.0000 0.5000 0.3042
Pm8 0.0000 0.5000 0.5000
Pm9 0.0000 0.5000 0.6958
Pm10 0.0000 0.5000 0.8926
Pm11 0.5000 0.0000 0.1074
Pm12 0.5000 0.0000 0.3042
Pm13 0.5000 0.0000 0.5000
Pm14 0.5000 0.0000 0.6958
Pm15 0.5000 0.0000 0.8926
Pr1 0.5000 0.5000 0.0000
In1 0.5000 0.5000 0.2068
In2 0.5000 0.5000 0.4025
In3 0.5000 0.5000 0.5975
In4 0.5000 0.5000 0.7932

Values from the calculation:
- E: -91.16 eV/cell
- Density of states at the Fermi level: 29.23 states/eV/cell



2.
This record from the Alexandria database describes a relaxed AlReTc4 crystal. The functional is PBE-GGA.

a b c (Å): 5.0702 5.0702 5.0702
angles (deg): 60.00 60.00 60.00
Positions (direct):
Al1 0.0000 0.0000 0.0000
Re1 0.7500 0.7500 0.7500
Tc1 0.3739 0.3739 0.3739
Tc2 0.3739 0.3739 0.8783
Tc3 0.3739 0.8783 0.3739
Tc4 0.8783 0.3739 0.3739

Values from the calculation:
- E: -56.14 eV/cell
- Density of states at the Fermi level: 6.24 states/eV/cell



3.
This record from the Alexandria database describes a relaxed TbNd2In3 crystal. The functional is PBE-GGA.

a b c (Å): 14.8503 14.8503 6.6140
angles (deg): 90.00 90.00 165.50
Positions (direct):
Tb1 0.1693 0.8307 0.7500
Tb2 0.8307 0.1693 0.2500
Nd1 0.3469 0.6531 0.7500
Nd2 0.4946 0.5054 0.2500
Nd3 0.5054 0.4946 0.7500
Nd4 0.6531 0.3469 0.2500
In1 0.0775 0.9225 0.0100
In2 0.0775 0.9225 0.4900
In3 0.2445 0.7555 0.2500
In4 0.7555 0.2445 0.7500
In5 0.9225 0.0775 0.5100
In6 0.9225 0.0775 0.9900

Values from the calculation:
- Distance to the lowest polymorph of the same formula: 184 meV per atom
- E: -48.44 eV/cell
- Density of states at the Fermi level: 10.77 states/eV/cell



4.
This record from the Alexandria database describes a relaxed C3Se crystal. The functional is PBE-GGA.

a b c (Å): 2.6846 8.2768 4.0326
angles (deg): 90.00 90.00 90.00
Positions (direct):
C1 0.0000 0.0000 0.0000
C2 0.0000 0.5000 0.0957
C3 0.5000 0.5000 0.0958
Se1 0.5000 0.0000 0.3017

Values from the calculation:
- Distance to the lowest polymorph of the same formula: 161 meV per atom
- Formation energy without anion corrections: 1.484 eV/atom
- E: -25.22 eV/cell
- Density of states at the Fermi level: 0.91 states/eV/cell



5.
This record from the Alexandria database describes a relaxed PmZrAl2 crystal. The functional is PBE-GGA.

a b c (Å): 5.0091 5.0091 5.0091
angles (deg): 60.00 60.00 60.00
Positions (direct):
Pm1 0.0000 0.0000 0.0000
Zr1 0.5000 0.5000 0.5000
Al1 0.2500 0.2500 0.2500
Al2 0.7500 0.7500 0.7500

Values from the calculation:
- Distance to the lowest polymorph of the same formula: 86 meV per atom
- E: -21.80 eV/cell
- Density of states at the Fermi level: 3.67 states/eV/cell



6.
This record from the Alexandria database describes a relaxed PmDyNi2Ge2 crystal. The functional is PBE-GGA.

a b c (Å): 4.2427 4.2427 7.3049
angles (deg): 90.00 90.00 120.00
Positions (direct):
Pm1 0.0000 0.0000 0.0000
Dy1 0.0000 0.0000 0.5000
Ni1 0.3333 0.6667 0.7229
Ni2 0.6667 0.3333 0.2771
Ge1 0.3333 0.6667 0.2642
Ge2 0.6667 0.3333 0.7358

Values from the calculation:
- E: -34.58 eV/cell
- Density of states at the Fermi level: 5.65 states/eV/cell



7.
This record from the Alexandria database describes a relaxed TaIr2Se crystal. The functional is PBE-GGA.

a b c (Å): 4.0309 5.6231 5.6231
angles (deg): 30.21 90.00 90.00
Positions (direct):
Ta1 0.0000 0.0000 0.0000
Ir1 0.0000 0.2534 0.2534
Ir2 0.5000 0.6151 0.6151
Se1 0.5000 0.3815 0.3815

Values from the calculation:
- Formation energy without anion corrections: -0.041 eV/atom
- E: -33.22 eV/cell
- Density of states at the Fermi level: 2.49 states/eV/cell



8.
This record from the Alexandria database describes a relaxed Er2Si3Pt4Rh crystal. The functional is PBE-GGA.

a b c (Å): 3.9514 3.9514 11.1531
angles (deg): 90.00 90.00 90.00
Positions (direct):
Er1 0.0000 0.5000 0.2465
Er2 0.5000 0.0000 0.7535
Si1 0.0000 0.0000 0.0000
Si2 0.0000 0.5000 0.6320
Si3 0.5000 0.0000 0.3680
Pt1 0.0000 0.0000 0.5000
Pt2 0.0000 0.5000 0.8384
Pt3 0.5000 0.0000 0.1616
Pt4 0.5000 0.5000 0.5000
Rh1 0.5000 0.5000 0.0000

Values from the calculation:
- Formation energy without anion corrections: -0.952 eV/atom
- E: -66.43 eV/cell
- Density of states at the Fermi level: 6.03 states/eV/cell



- What is the formula in the first record?
  Pm15PrIn4



- Which of these has the lowest E?
  Pm15PrIn4